## Pr5SmTe6 (PBE)

Data for crystalline Pr5SmTe6 at its relaxed geometry.

Structure (extended XYZ):
```
12
Lattice="7.805 0.225 0.000 2.413 7.438 0.000 1.206 3.719 6.797" Properties=species:S:1:pos:R:3 pbc="T T T"
Pr 5.109 3.832 4.475
Pr 1.206 3.719 2.275
Pr 5.109 3.832 0.000
Pr 2.413 7.438 4.522
Pr 6.316 7.551 2.322
Sm 0.000 0.000 0.000
Te 6.475 2.002 2.229
Te 3.744 5.661 2.229
Te 2.541 1.880 0.000
Te 7.677 5.783 0.000
Te 7.681 5.722 4.568
Te 4.950 9.380 4.568
```

Computed properties:
Space-group type: No. 12
Uncorrected energy: -5.388 eV/atom